Entry 1:
{"formula": "Na2ScHg", "functional": "PBE", "state": "optimized geometry", "lattice": [[-1.161, -8.516, 1.861], [2.799, -2.142, -8.057], [3.576, -5.487, -2.098]], "species": ["Sc", "Sc", "Na", "Na", "Na", "Na", "Hg", "Hg"], "frac_coords": [[0.500, 0.500, 0.000], [0.250, 0.750, 0.500], [0.664, 0.125, 0.250], [0.086, 0.625, 0.250], [0.375, 0.336, 0.750], [0.875, 0.914, 0.750], [0.000, 0.000, 0.000], [0.750, 0.250, 0.500]], "volume_a3_per_cell": 227.16, "formation_enthalpy_0k_kj_per_mol_fu": 93, "mass_density_g_cm3": 4.26, "dft_energy_ev_per_atom": -2.076, "spacegroup": "I-42d"}

---

Entry 2:
{"formula": "Na5ScHg6", "functional": "PBE", "state": "optimized geometry", "lattice": [[-2.227, 4.537, 1.146], [-3.520, -3.163, 5.680], [4.856, 4.050, 5.265]], "species": ["Sc", "Na", "Na", "Na", "Na", "Na", "Hg", "Hg", "Hg", "Hg", "Hg", "Hg"], "frac_coords": [[0.000, 0.000, 0.000], [0.670, 0.500, 0.660], [0.325, 0.000, 0.350], [0.000, 0.500, 0.000], [0.675, 0.000, 0.650], [0.330, 0.500, 0.340], [0.845, 0.756, 0.309], [0.845, 0.244, 0.309], [0.500, 0.220, 0.000], [0.500, 0.780, 0.000], [0.155, 0.756, 0.691], [0.155, 0.244, 0.691]], "volume_a3_per_cell": 298.78, "formation_enthalpy_0k_kj_per_mol_fu": -274, "mass_density_g_cm3": 7.58, "dft_energy_ev_per_atom": -1.465, "spacegroup": "P2/m"}